[1]
The following is a DFT calculation (GGA-PBE) of H3IrCl after structural relaxation.

Summary:
Mass density: 8.46 g cm⁻³
V: 45.3 Å³/f.u.
Energy relative to the lowest polymorph listed for this composition: 5.086 eV/f.u.
M_tot: 0.00 μB per cell
SG: Pm-3m (221)

```
data_H3IrCl
_cell_length_a 3.5646
_cell_length_b 3.5646
_cell_length_c 3.5646
_cell_angle_alpha 90.00
_cell_angle_beta 90.00
_cell_angle_gamma 90.00
_symmetry_space_group_name_H-M 'P 1'
_symmetry_Int_Tables_number 1
loop_
_symmetry_equiv_pos_as_xyz
'x,y,z'
loop_
_atom_site_label
_atom_site_type_symbol
_atom_site_fract_x
_atom_site_fract_y
_atom_site_fract_z
H1 H 0.0000 0.0000 0.5000
H2 H 0.0000 0.5000 0.0000
H3 H 0.5000 0.0000 0.0000
Ir1 Ir 0.5000 0.5000 0.5000
Cl1 Cl 0.0000 0.0000 0.0000
```


[2]
The following is a DFT calculation (GGA-PBE) of HIr2Cl after structural relaxation.

Summary:
Mass density: 12.83 g cm⁻³
V: 54.5 Å³/f.u.
Energy relative to the lowest polymorph listed for this composition: 0.000 eV/f.u.
M_tot: 0.00 μB per cell
SG: I-42d (122)

```
data_HIr2Cl
_cell_length_a 5.6992
_cell_length_b 5.6992
_cell_length_c 5.6992
_cell_angle_alpha 128.97
_cell_angle_beta 128.97
_cell_angle_gamma 75.05
_symmetry_space_group_name_H-M 'P 1'
_symmetry_Int_Tables_number 1
loop_
_symmetry_equiv_pos_as_xyz
'x,y,z'
loop_
_atom_site_label
_atom_site_type_symbol
_atom_site_fract_x
_atom_site_fract_y
_atom_site_fract_z
H1 H 0.0000 0.0000 0.0000
H2 H 0.7500 0.2500 0.5000
Ir1 Ir 0.0075 0.6250 0.8825
Ir2 Ir 0.3750 0.2575 0.3825
Ir3 Ir 0.7425 0.1250 0.1175
Ir4 Ir 0.8750 0.9925 0.6175
Cl1 Cl 0.2500 0.7500 0.5000
Cl2 Cl 0.5000 0.5000 0.0000
```


[3]
The following is a DFT calculation (GGA-PBE) of H2IrCl2 after structural relaxation.

Summary:
Mass density: 6.87 g cm⁻³
V: 64.1 Å³/f.u.
Energy relative to the lowest polymorph listed for this composition: 1.659 eV/f.u.
M_tot: 0.00 μB per cell
SG: P4/mbm (127)

```
data_H2IrCl2
_cell_length_a 5.7313
_cell_length_b 5.7313
_cell_length_c 3.9030
_cell_angle_alpha 90.00
_cell_angle_beta 90.00
_cell_angle_gamma 90.00
_symmetry_space_group_name_H-M 'P 1'
_symmetry_Int_Tables_number 1
loop_
_symmetry_equiv_pos_as_xyz
'x,y,z'
loop_
_atom_site_label
_atom_site_type_symbol
_atom_site_fract_x
_atom_site_fract_y
_atom_site_fract_z
H1 H 0.2421 0.2579 0.0000
H2 H 0.2579 0.7579 0.0000
H3 H 0.7421 0.2421 0.0000
H4 H 0.7579 0.7421 0.0000
Ir1 Ir 0.0000 0.0000 0.0000
Ir2 Ir 0.5000 0.5000 0.0000
Cl1 Cl 0.2159 0.2841 0.5000
Cl2 Cl 0.2841 0.7841 0.5000
Cl3 Cl 0.7159 0.2159 0.5000
Cl4 Cl 0.7841 0.7159 0.5000
```


[4]
The following is a DFT calculation (GGA-PBE) of HIr3Cl after structural relaxation.

Summary:
Mass density: 15.73 g cm⁻³
V: 64.7 Å³/f.u.
Energy relative to the lowest polymorph listed for this composition: 0.000 eV/f.u.
M_tot: 0.00 μB per cell
SG: Pm-3m (221)

```
data_HIr3Cl
_cell_length_a 4.0148
_cell_length_b 4.0148
_cell_length_c 4.0148
_cell_angle_alpha 90.00
_cell_angle_beta 90.00
_cell_angle_gamma 90.00
_symmetry_space_group_name_H-M 'P 1'
_symmetry_Int_Tables_number 1
loop_
_symmetry_equiv_pos_as_xyz
'x,y,z'
loop_
_atom_site_label
_atom_site_type_symbol
_atom_site_fract_x
_atom_site_fract_y
_atom_site_fract_z
H1 H 0.0000 0.0000 0.0000
Ir1 Ir 0.0000 0.0000 0.5000
Ir2 Ir 0.0000 0.5000 0.0000
Ir3 Ir 0.5000 0.0000 0.0000
Cl1 Cl 0.5000 0.5000 0.5000
```